Entry from Alexandria via LeMat-Bulk: a geometry-optimized Nd2PuRuN4 structure (PBE-GGA).

Output
M_tot: 15.9 Bohr magnetons per cell
DOS at the Fermi energy: 27.54 states/eV/cell
Formation energy without anion corrections: -0.764 eV per atom
Total DFT energy (no corrections): -9.07 eV/atom

abc: 3.392 11.815 12.030
angles: 90.00 90.00 90.00
Space group Cmcm (No. 63)
Asymmetric unit:
Nd 0.000 0.132 0.049 [8 per cell]
Pu 0.000 0.388 0.250 [4 per cell]
Ru 0.000 0.351 0.750 [4 per cell]
N 0.000 0.039 0.250 [4 per cell]
N 0.000 0.218 0.642 [8 per cell]
N 0.000 0.500 0.000 [4 per cell]

=====

Entry from Alexandria via LeMat-Bulk: a geometry-optimized PuSiNi2H structure (PBE-GGA).

Output
M_tot: 21.3 Bohr magnetons per cell
DOS at the Fermi energy: 38.29 states/eV/cell
Total DFT energy (no corrections): -7.46 eV/atom

abc: 3.757 10.388 6.597
angles: 90.00 90.00 90.00
Space group Cmcm (No. 63)
Asymmetric unit:
Pu 0.000 0.056 0.250 [4 per cell]
Si 0.000 0.223 0.750 [4 per cell]
Ni 0.000 0.332 0.058 [8 per cell]
H 0.000 0.500 0.000 [4 per cell]

=====

Entry from Alexandria via LeMat-Bulk: a geometry-optimized Ac3MgRu2 structure (PBE-GGA).

Output
M_tot: 0.0 Bohr magnetons per cell
Calculated formation energy: -62 meV/atom
DOS at the Fermi energy: 15.63 states/eV/cell
Total DFT energy (no corrections): -5.47 eV/atom

abc: 16.688 4.436 10.878
angles: 90.00 113.37 90.00
Space group C2/m (No. 12)
Asymmetric unit:
Ac 0.050 0.000 0.241 [4 per cell]
Ac 0.155 0.500 0.996 [4 per cell]
Ac 0.217 0.000 0.618 [4 per cell]
Mg 0.065 0.500 0.640 [4 per cell]
Ru 0.120 0.500 0.421 [4 per cell]
Ru 0.141 0.000 0.819 [4 per cell]

=====

Entry from Alexandria via LeMat-Bulk: a geometry-optimized CaPuIn structure (PBE-GGA).

Output
M_tot: 6.1 Bohr magnetons per cell
Calculated formation energy: 30 meV/atom
Energy relative to the lowest polymorph listed for this composition: 92 meV/atom
DOS at the Fermi energy: 8.66 states/eV/cell
Total DFT energy (no corrections): -6.33 eV/atom

abc: 5.4753 5.4753 3.1228
angles: 90.00 90.00 120.00
Space group P3m1 (No. 156)
Asymmetric unit:
Ca 0.0000 0.0000 0.0000 [1 per cell]
Pu 0.3333 0.6667 0.0022 [1 per cell]
In 0.6667 0.3333 0.5011 [1 per cell]

=====

Entry from Alexandria via LeMat-Bulk: a geometry-optimized Tc2HW structure (PBE-GGA).

Output
M_tot: 0.0 Bohr magnetons per cell
Energy relative to the lowest polymorph listed for this composition: 166 meV/atom
DOS at the Fermi energy: 9.62 states/eV/cell
Total DFT energy (no corrections): -8.77 eV/atom

abc: 2.8044 2.8044 21.9902
angles: 90.00 90.00 120.00
Space group R-3m (No. 166, hexagonal axes)
Asymmetric unit:
Tc 0.0000 0.0000 0.1145 [6 per cell]
H 0.0000 0.0000 0.5000 [3 per cell]
W 0.0000 0.0000 0.0000 [3 per cell]

=====

Entry from Alexandria via LeMat-Bulk: a geometry-optimized Pr4DyAl4 structure (PBE-GGA).

Output
M_tot: 0.0 Bohr magnetons per cell
Calculated formation energy: -147 meV/atom
DOS at the Fermi energy: 15.91 states/eV/cell
Total DFT energy (no corrections): -4.45 eV/atom

abc: 8.952 8.952 6.104
angles: 90.00 90.00 90.00
Space group P4_2/n (No. 86, origin choice 2)
Asymmetric unit:
Pr 0.077 0.824 0.126 [8 per cell]
Dy 0.250 0.250 0.750 [2 per cell]
Al 0.065 0.161 0.355 [8 per cell]